6
Lattice="3.870 0.000 0.000 0.000 5.705 0.676 0.000 -2.063 5.362" Properties=species:S:1:pos:R:3 comment="PmRuN, optimized geometry, DFT PBE" volume_a3_per_cell=124 magmom_total_mub_per_cell=0.00 formation_energy_uncorrected_mev_per_atom=14 final_energy_ev_per_atom=-7.437 dos_at_fermi_per_ev_cell=2.7 pbc="T T T"
Pm 2.903 2.708 0.441
Pm 0.968 4.515 3.438
Ru 0.968 0.649 0.652
Ru 2.903 3.368 5.160
N 0.968 2.721 5.178
N 2.903 0.331 1.216